The following is a PBE calculation of crystalline GdYFe2Ge2 at its relaxed geometry, from OQMD.

CIF file:
```
data_GdYFe2Ge2
_chemical_formula_sum 'Gd1 Y1 Fe2 Ge2'
_symmetry_space_group_name_H-M 'P 4 m m'
_symmetry_Int_Tables_number 99
_cell_length_a 4.119
_cell_length_b 4.119
_cell_length_c 6.540
_cell_angle_alpha 90.00
_cell_angle_beta 90.00
_cell_angle_gamma 90.00
loop_
_symmetry_equiv_pos_as_xyz
'x,y,z'
'-y,x,z'
'-x,-y,z'
'y,-x,z'
'-x,y,z'
'y,x,z'
'x,-y,z'
'-y,-x,z'
loop_
_atom_site_label
_atom_site_type_symbol
_atom_site_fract_x
_atom_site_fract_y
_atom_site_fract_z
Gd1 Gd 0.000 0.000 0.000
Y1 Y 0.500 0.500 0.378
Fe1 Fe 0.000 0.500 0.688
Ge1 Ge 0.000 0.000 0.494
Ge2 Ge 0.500 0.500 0.881
```

As for the energy: -40.14 eV per formula unit.



The following is a PBE calculation of crystalline GdYFe2Ge4 at its relaxed geometry, from OQMD.

CIF file:
```
data_GdYFe2Ge4
_chemical_formula_sum 'Gd2 Y2 Fe4 Ge8'
_symmetry_space_group_name_H-M 'A m m 2'
_symmetry_Int_Tables_number 38
_cell_length_a 4.197
_cell_length_b 4.172
_cell_length_c 16.626
_cell_angle_alpha 90.00
_cell_angle_beta 90.00
_cell_angle_gamma 90.00
loop_
_symmetry_equiv_pos_as_xyz
'x,y,z'
'-x,-y,z'
'-x,y,z'
'x,-y,z'
'x,y+1/2,z+1/2'
'-x,-y+1/2,z+1/2'
'-x,y+1/2,z+1/2'
'x,-y+1/2,z+1/2'
loop_
_atom_site_label
_atom_site_type_symbol
_atom_site_fract_x
_atom_site_fract_y
_atom_site_fract_z
Gd1 Gd 0.000 0.000 0.000
Y1 Y 0.500 0.000 0.782
Fe1 Fe 0.000 0.000 0.209
Fe2 Fe 0.500 0.000 0.573
Ge1 Ge 0.000 0.000 0.345
Ge2 Ge 0.000 0.000 0.641
Ge3 Ge 0.500 0.000 0.142
Ge4 Ge 0.500 0.000 0.436
```

As for the energy: -50.07 eV per formula unit.